Rb3Y2MoO6 PBE with a Hubbard U optimized geometry; electronic total energy = -6.68 eV/atom; total moment = 3.00 Bohr magnetons per cell
1.0
-1.450 2.449 5.272
-3.918 0.108 -4.531
-0.655 -6.550 1.729
Rb Y Mo O
3 2 1 6
Cartesian
-3.841 -2.783 -2.057
-2.183 -1.211 4.527
-3.012 -1.997 1.235
-3.096 0.888 -1.265
-2.273 1.669 2.006
0.000 0.000 0.000
-4.323 -3.031 3.595
-4.052 0.729 0.846
-1.700 -0.963 -1.125
-5.125 -3.791 0.412
-1.971 -4.722 1.624
-0.899 -0.203 2.058